Density functional theory data (PBE-GGA) for crystalline Cd2SiSe at its relaxed geometry.

Results
offset from the most stable computed form: 0.00 eV per formula unit
size of the total moment: 0.000 μB per atom
electronic total energy: -0.192 Ry/atom
DOS(E_F): 0.568 states/eV/atom
crystal system: trigonal
raw formation energy: 0.078 eV/atom

abc: 8.1966 8.1966 8.1966
angles: 25.47 25.47 25.47
Last column: nearest neighbours and their distance in Å.
Fractional positions:
Cd  0.0067  0.0067  0.0067  3 Si 2.89, 3 Cd 2.99
Cd  0.2500  0.2500  0.2500  3 Cd 2.99, 3 Se 3.12
Si  0.7576  0.7576  0.7576  3 Se 2.55
Se  0.4857  0.4857  0.4857  3 Si 2.55